[1]
Density functional theory data (PBE-GGA) for BiTe2N2 after structural relaxation.

The space group is P4/mmm (No. 123) and the conventional cell measures 6.088, 6.088 and 4.636 Å, with angles of 90.00, 90.00 and 90.00 degrees. Symmetry generates all atoms from Bi at (0.000, 0.000, 0.000), Te at (0.000, 0.500, 0.000), N at (0.000, 0.000, 0.500) and N at (0.500, 0.500, 0.500).

The excess energy over the best structure of this formula in the dataset is 2.0331 eV per atom. The value obtained for the formation energy (no corrections) is 2.091 eV per atom.

---

[2]
Density functional theory data (PBE-GGA) for BiTe2N after structural relaxation.

The space group is Fm-3m (No. 225) and the conventional cell measures 7.263, 7.263 and 7.263 Å, with angles of 90.00, 90.00 and 90.00 degrees. Symmetry generates all atoms from Bi at (0.000, 0.000, 0.000), Te at (0.250, 0.250, 0.250) and N at (0.000, 0.000, 0.500).

The excess energy over the best structure of this formula in the dataset is 0.6108 eV per atom. The value obtained for the formation energy (no corrections) is 1.314 eV per atom.

---

[3]
Density functional theory data (PBE-GGA) for BiTe2N after structural relaxation.

The space group is R-3m (No. 166, hexagonal axes) and the conventional cell measures 3.4830, 3.4830 and 26.3385 Å, with angles of 90.00, 90.00 and 120.00 degrees. Symmetry generates all atoms from Bi at (0.0000, 0.0000, 0.0000), Te at (0.0000, 0.0000, 0.2259) and N at (0.0000, 0.0000, 0.5000).

The excess energy over the best structure of this formula in the dataset is 0.1609 eV per atom. The value obtained for the formation energy (no corrections) is 0.864 eV per atom.

---

[4]
Density functional theory data (PBE-GGA) for ThBiTeN after structural relaxation.

The space group is P4/nmm (No. 129, origin choice 2) and the conventional cell measures 4.309, 4.309 and 11.436 Å, with angles of 90.00, 90.00 and 90.00 degrees. Symmetry generates all atoms from Th at (0.250, 0.250, 0.093), Bi at (0.250, 0.750, 0.500), Te at (0.250, 0.250, 0.740) and N at (0.250, 0.750, 0.000).

The value obtained for the formation energy (no corrections) is -0.981 eV per atom.

---

[5]
Density functional theory data (PBE-GGA) for Th2BiTe2N after structural relaxation.

The space group is Ibam (No. 72) and the conventional cell measures 8.420, 14.006 and 6.088 Å, with angles of 90.00, 90.00 and 90.00 degrees. Symmetry generates all atoms from Th at (0.149, 0.093, 0.000), Bi at (0.000, 0.500, 0.250), Te at (0.191, 0.190, 0.500) and N at (0.000, 0.000, 0.250).

The value obtained for the formation energy (no corrections) is -1.175 eV per atom.

---

[6]
Density functional theory data (PBE-GGA) for ThBiTe2N after structural relaxation.

The space group is P4/nmm (No. 129, origin choice 2) and the conventional cell measures 4.252, 4.252 and 16.375 Å, with angles of 90.00, 90.00 and 90.00 degrees. Symmetry generates all atoms from Th at (0.250, 0.250, 0.067), Bi at (0.250, 0.250, 0.643), Te at (0.250, 0.250, 0.409), Te at (0.250, 0.250, 0.821) and N at (0.250, 0.750, 0.000).

The value obtained for the formation energy (no corrections) is -0.963 eV per atom.

---

[7]
Density functional theory data (PBE-GGA) for TiBiTeN2 after structural relaxation.

The space group is P4/mmm (No. 123) and the conventional cell measures 4.146, 4.146 and 5.553 Å, with angles of 90.00, 90.00 and 90.00 degrees. Symmetry generates all atoms from Ti at (0.000, 0.000, 0.000), Bi at (0.500, 0.500, 0.500), Te at (0.000, 0.000, 0.500) and N at (0.000, 0.500, 0.000).

The excess energy over the best structure of this formula in the dataset is 0.0000 eV per atom. The value obtained for the formation energy (no corrections) is 0.469 eV per atom.

---

[8]
Density functional theory data (PBE-GGA) for TiBiTeN2 after structural relaxation.

The space group is P4/mmm (No. 123) and the conventional cell measures 4.283, 4.283 and 6.206 Å, with angles of 90.00, 90.00 and 90.00 degrees. Symmetry generates all atoms from Ti at (0.000, 0.000, 0.000), Bi at (0.500, 0.500, 0.500), Te at (0.500, 0.500, 0.000) and N at (0.000, 0.500, 0.500).

The excess energy over the best structure of this formula in the dataset is 1.0906 eV per atom. The value obtained for the formation energy (no corrections) is 1.559 eV per atom.

---

[9]
Density functional theory data (PBE-GGA) for TiBiTe2N after structural relaxation.

The space group is P4/mmm (No. 123) and the conventional cell measures 5.906, 5.906 and 4.273 Å, with angles of 90.00, 90.00 and 90.00 degrees. Symmetry generates all atoms from Ti at (0.000, 0.000, 0.000), Bi at (0.500, 0.500, 0.500), Te at (0.000, 0.500, 0.500) and N at (0.500, 0.500, 0.000).

The excess energy over the best structure of this formula in the dataset is 1.1829 eV per atom. The value obtained for the formation energy (no corrections) is 1.096 eV per atom.

---

[10]
Density functional theory data (PBE-GGA) for TiBiTe2N after structural relaxation.

The space group is P4/mmm (No. 123) and the conventional cell measures 5.644, 5.644 and 3.789 Å, with angles of 90.00, 90.00 and 90.00 degrees. Symmetry generates all atoms from Ti at (0.000, 0.000, 0.000), Bi at (0.500, 0.500, 0.500), Te at (0.000, 0.500, 0.000) and N at (0.000, 0.000, 0.500).

The excess energy over the best structure of this formula in the dataset is 0.0000 eV per atom. The value obtained for the formation energy (no corrections) is -0.087 eV per atom.

---

[11]
Density functional theory data (PBE-GGA) for TlBiTeN2 after structural relaxation.

The space group is P4/mmm (No. 123) and the conventional cell measures 4.539, 4.539 and 6.148 Å, with angles of 90.00, 90.00 and 90.00 degrees. Symmetry generates all atoms from Tl at (0.000, 0.000, 0.000), Bi at (0.500, 0.500, 0.500), Te at (0.000, 0.000, 0.500) and N at (0.000, 0.500, 0.000).

The excess energy over the best structure of this formula in the dataset is 0.3397 eV per atom. The value obtained for the formation energy (no corrections) is 1.669 eV per atom.

---

[12]
Density functional theory data (PBE-GGA) for TlBiTeN2 after structural relaxation.

The space group is P4/mmm (No. 123) and the conventional cell measures 4.536, 4.536 and 6.337 Å, with angles of 90.00, 90.00 and 90.00 degrees. Symmetry generates all atoms from Tl at (0.000, 0.000, 0.000), Bi at (0.500, 0.500, 0.500), Te at (0.500, 0.500, 0.000) and N at (0.000, 0.500, 0.500).

The excess energy over the best structure of this formula in the dataset is 0.0000 eV per atom. The value obtained for the formation energy (no corrections) is 1.329 eV per atom.

---

[13]
Density functional theory data (PBE-GGA) for UBiTe2N after structural relaxation.

The space group is P4/nmm (No. 129, origin choice 2) and the conventional cell measures 3.940, 3.940 and 18.724 Å, with angles of 90.00, 90.00 and 90.00 degrees. Symmetry generates all atoms from U at (0.250, 0.250, 0.060), Bi at (0.250, 0.250, 0.666), Te at (0.250, 0.250, 0.407), Te at (0.250, 0.250, 0.847) and N at (0.250, 0.750, 0.000).

The value obtained for the formation energy (no corrections) is -0.704 eV per atom.

---

[14]
Density functional theory data (PBE-GGA) for VBiTe2N after structural relaxation.

The space group is P4/mmm (No. 123) and the conventional cell measures 5.909, 5.909 and 4.262 Å, with angles of 90.00, 90.00 and 90.00 degrees. Symmetry generates all atoms from V at (0.000, 0.000, 0.000), Bi at (0.500, 0.500, 0.500), Te at (0.000, 0.500, 0.500) and N at (0.500, 0.500, 0.000).

The excess energy over the best structure of this formula in the dataset is 1.2705 eV per atom. The value obtained for the formation energy (no corrections) is 1.296 eV per atom.